## CaTe2Rh (PBE-GGA)

Data for a geometry-optimized CaTe2Rh structure.

As for the crystal system: cubic. The energy relative to the elements, uncorrected is -88 meV/atom. As for the energy above the most stable polymorph in this dataset: 0.7258 eV/atom. As for the total magnetization: 0.00 μB/f.u.

The structure belongs to space group F-43m (No. 216); the cell edges are 7.2772, 7.2772 and 7.2772 Å and the angles 90.00°, 90.00° and 90.00°. The asymmetric unit holds Ca at (0.0000, 0.0000, 0.0000), Te at (0.0000, 0.0000, 0.5000), Te at (0.2500, 0.2500, 0.7500) and Rh at (0.2500, 0.2500, 0.2500).



## PmPrRuI (PBE-GGA)

Data for a geometry-optimized PmPrRuI structure.

As for the crystal system: monoclinic. The energy relative to the elements, uncorrected is -600 meV/atom. As for the total magnetization: 0.00 μB/f.u.

The structure belongs to space group Cm (No. 8); the cell edges are 7.1867, 4.1353 and 8.5589 Å and the angles 90.00°, 106.36° and 90.00°. The asymmetric unit holds Pm at (0.0000, 0.0000, 0.0000), Pr at (0.2901, 0.5000, 0.3725), Ru at (0.3939, 0.0000, 0.1830) and I at (0.0638, 0.5000, 0.6918).



## CrSbTe4 (PBE-GGA)

Data for a geometry-optimized CrSbTe4 structure.

As for the crystal system: monoclinic. The energy relative to the elements, uncorrected is -107 meV/atom. As for the energy above the most stable polymorph in this dataset: 0.0000 eV/atom. As for the total magnetization: 2.14 μB/f.u.

The structure belongs to space group C2/m (No. 12); the cell edges are 13.9630, 3.9469 and 7.3619 Å and the angles 90.00°, 116.98° and 90.00°. The asymmetric unit holds Cr at (0.0000, 0.0000, 0.0000), Sb at (0.0000, 0.5000, 0.5000), Te at (0.1225, 0.5000, 0.2545) and Te at (0.1341, 0.0000, 0.8253).



## Na2SiMo4 (PBE-GGA)

Data for a geometry-optimized Na2SiMo4 structure.

As for the crystal system: tetragonal. The energy relative to the elements, uncorrected is 1588 meV/atom. As for the total magnetization: 4.23 μB/f.u.

The structure belongs to space group I4/mmm (No. 139); the cell edges are 4.5574, 4.5574 and 15.0834 Å and the angles 90.00°, 90.00° and 90.00°. The asymmetric unit holds Na at (0.0000, 0.0000, 0.1453), Si at (0.0000, 0.0000, 0.5000), Mo at (0.0000, 0.0000, 0.3475) and Mo at (0.0000, 0.5000, 0.0000).



## Ac2VIn2Ge4 (PBE-GGA)

Data for a geometry-optimized Ac2VIn2Ge4 structure.

As for the crystal system: tetragonal. As for the total magnetization: 0.00 μB/f.u. The formation energy is -0.349 eV/atom.

The structure belongs to space group I4/mmm (No. 139); the cell edges are 6.8533, 6.8533 and 9.1595 Å and the angles 90.00°, 90.00° and 90.00°. The asymmetric unit holds Ac at (0.0000, 0.5000, 0.2500), V at (0.0000, 0.0000, 0.0000), In at (0.0000, 0.0000, 0.3052) and Ge at (0.2392, 0.2392, 0.5000).



## Dy2MgIn4 (PBE-GGA)

Data for a geometry-optimized Dy2MgIn4 structure.

As for the crystal system: orthorhombic. As for the total magnetization: 0.00 μB/f.u. The formation energy is -0.288 eV/atom.

The structure belongs to space group Cmmm (No. 65); the cell edges are 8.8262, 9.3674 and 4.5148 Å and the angles 90.00°, 90.00° and 90.00°. The asymmetric unit holds Dy at (0.2280, 0.0000, 0.0000), Mg at (0.0000, 0.5000, 0.5000), In at (0.0000, 0.2606, 0.0000) and In at (0.2500, 0.2500, 0.5000).



no.,N(E_F) (states/eV per cell),raw total energy (eV per cell)
1,20.03,-63.957
2,4.25,-45.512
3,6.40,-53.910
4,16.73,-80.543
5,9.15,-88.844
6,7.72,-47.543